{"formula": "ThPaWC3", "functional": "GGA-PBE", "state": "optimized geometry", "lattice": [[7.4534, 0.0000, 0.0000], [0.0000, 3.6684, 0.0000], [-0.8541, 0.0000, 8.0105]], "species": ["Th", "Th", "Pa", "Pa", "W", "W", "C", "C", "C", "C", "C", "C"], "frac_coords": [[0.1598, 0.2500, 0.1619], [0.8402, 0.7500, 0.8381], [0.3674, 0.7500, 0.8345], [0.6326, 0.2500, 0.1655], [0.0997, 0.2500, 0.5986], [0.9003, 0.7500, 0.4014], [0.1221, 0.2500, 0.8513], [0.1701, 0.7500, 0.5170], [0.4075, 0.7500, 0.1225], [0.5925, 0.2500, 0.8775], [0.8299, 0.2500, 0.4830], [0.8779, 0.7500, 0.1487]], "formation_enthalpy_0k_ev_per_atom": -0.04}